No. 1
! NaPrGe2 (PBE, optimized geometry); values from VASP
! - Energy of formation: -505 meV per atom
! - E above lowest polymorph: 0 meV/atom
! - DOS(E_F): 0.237 states/eV/atom
&SYSTEM
  ibrav = 0, nat = 16, ntyp = 3
/
ATOMIC_SPECIES
Pr 140.91 Pr.upf
Ge 72.64 Ge.upf
Na 22.99 Na.upf
CELL_PARAMETERS angstrom
-0.387 -3.676 2.524
6.654 -1.207 -0.737
2.551 7.316 11.045
ATOMIC_POSITIONS crystal
Pr 0.750 0.257 0.301
Pr 0.250 0.743 0.699
Pr 0.750 0.757 0.199
Pr 0.250 0.243 0.801
Ge 0.750 0.053 0.658
Ge 0.250 0.947 0.342
Ge 0.250 0.447 0.158
Ge 0.750 0.933 0.842
Ge 0.250 0.067 0.158
Ge 0.250 0.567 0.342
Ge 0.750 0.433 0.658
Ge 0.750 0.553 0.842
Na 0.250 0.747 0.972
Na 0.250 0.247 0.528
Na 0.750 0.253 0.028
Na 0.750 0.753 0.472

=====

No. 2
! GdTmMnNi (PBE, optimized geometry); values from VASP
! - Energy of formation: -28 meV per atom
! - DOS(E_F): 1.468 states/eV/atom
&SYSTEM
  ibrav = 0, nat = 4, ntyp = 4
/
ATOMIC_SPECIES
Mn 54.94 Mn.upf
Tm 168.93 Tm.upf
Gd 157.25 Gd.upf
Ni 58.69 Ni.upf
CELL_PARAMETERS angstrom
4.869 0.000 0.000
2.435 4.217 0.000
2.435 1.406 3.976
ATOMIC_POSITIONS crystal
Mn 0.250 0.250 0.250
Tm 0.500 0.500 0.500
Gd 0.000 0.000 0.000
Ni 0.750 0.750 0.750

=====

No. 3
! ZrTi2Te (PBE, optimized geometry); values from VASP
! - E_tot: -28.7 eV per cell
! - DOS(E_F): 1.056 states/eV/atom
&SYSTEM
  ibrav = 0, nat = 4, ntyp = 3
/
ATOMIC_SPECIES
Zr 91.22 Zr.upf
Ti 47.87 Ti.upf
Te 127.60 Te.upf
CELL_PARAMETERS angstrom
3.812 0.000 0.000
0.000 4.470 0.000
0.000 0.000 4.470
ATOMIC_POSITIONS crystal
Zr 0.500 0.500 0.500
Ti 0.000 0.000 0.500
Ti 0.000 0.500 0.000
Te 0.500 0.000 0.000

=====

No. 4
! InCoSb2 (PBE, optimized geometry); values from VASP
! - E_tot: -17.9 eV per cell
! - DOS(E_F): 0.667 states/eV/atom
&SYSTEM
  ibrav = 0, nat = 4, ntyp = 3
/
ATOMIC_SPECIES
Co 58.93 Co.upf
Sb 121.76 Sb.upf
In 114.82 In.upf
CELL_PARAMETERS angstrom
5.109 0.005 0.000
4.061 3.099 0.000
2.154 0.729 5.784
ATOMIC_POSITIONS crystal
Co 0.542 0.542 0.626
Sb 0.162 0.162 0.285
Sb 0.980 0.980 0.969
In 0.816 0.816 0.621